# 1
GeS after structural relaxation, computed with PBE.

POSCAR file:
```
GeS
1.0
-0.0131 4.0157 6.1765
0.6108 -6.1547 4.0028
7.3418 0.5192 -0.3220
Ge S
6 6
Direct
0.7500 0.5000 0.0000
0.5000 0.0000 0.2500
0.5000 0.0000 0.7500
0.0000 0.2500 0.5000
0.2500 0.5000 0.0000
0.0000 0.7500 0.5000
0.5000 0.2500 0.0000
0.0000 0.5000 0.2500
0.0000 0.5000 0.7500
0.2500 0.0000 0.5000
0.5000 0.7500 0.0000
0.7500 0.0000 0.5000
```

Results
Total magnetization in μB per formula unit: 0.0
Crystal system: cubic
Symmetry: Pm-3n, No. 223


# 2
GeS after structural relaxation, computed with PBE.

POSCAR file:
```
GeS
1.0
-1.8026 0.2471 3.0169
2.9555 -1.9129 -0.1345
5.0924 7.6982 2.4121
S Ge
2 2
Direct
0.6667 0.3333 0.1842
0.3333 0.6667 0.6842
0.0000 0.0000 0.5421
0.0000 0.0000 0.0421
```

Results
Total magnetization in μB per formula unit: 0.0
Crystal system: hexagonal
Symmetry: P6_3mc, No. 186


# 3
GeS after structural relaxation, computed with PBE.

POSCAR file:
```
GeS
1.0
-4.4337 -5.9088 -5.8392
8.0825 -4.5975 -1.4847
-1.9194 -5.7111 7.2365
Ge S
8 8
Direct
0.8733 0.8733 0.8733
0.3733 0.3733 0.3733
0.8733 0.1267 0.1267
0.3733 0.6267 0.6267
0.6267 0.6267 0.3733
0.1267 0.1267 0.8733
0.1267 0.8733 0.1267
0.6267 0.3733 0.6267
0.6335 0.3665 0.3665
0.8665 0.8665 0.1335
0.6335 0.6335 0.6335
0.3665 0.3665 0.6335
0.8665 0.1335 0.8665
0.1335 0.8665 0.8665
0.3665 0.6335 0.3665
0.1335 0.1335 0.1335
```

Results
Total magnetization in μB per formula unit: 0.0
Density of states at the Fermi level in states/eV per cell: 0.00
Crystal system: cubic
Symmetry: I-43m, No. 217


For reference, ΔE_f (raw) by record: 0.02; -0.21; -0.14 eV/atom.